Run i
# PBE-GGA NpPaMn, relaxed
# Calculated volume: 18.95 A^3/atom
# Density of states at the Fermi level: 5.56 states/eV per cell
data_NpPaMn
_cell_length_a 4.6595
_cell_length_b 4.6595
_cell_length_c 3.0238
_cell_angle_alpha 90.00
_cell_angle_beta 90.00
_cell_angle_gamma 120.00
_space_group_name_H-M_alt 'P 3 m 1'
_space_group_IT_number 156
loop_
_space_group_symop_operation_xyz
'x,y,z'
'-y,x-y,z'
'-x+y,-x,z'
'-y,-x,z'
'-x+y,y,z'
'x,x-y,z'
loop_
_atom_site_label
_atom_site_type_symbol
_atom_site_fract_x
_atom_site_fract_y
_atom_site_fract_z
_atom_site_occupancy
Np1 Np 0.0000 0.0000 0.0000 1
Pa1 Pa 0.3333 0.6667 0.6978 1
Mn1 Mn 0.6667 0.3333 0.3052 1

Run ii
# PBE-GGA NpPaMn, relaxed
# Calculated volume: 18.05 A^3/atom
# Density of states at the Fermi level: 11.00 states/eV per cell
data_NpPaMn
_cell_length_a 3.586
_cell_length_b 4.895
_cell_length_c 6.270
_cell_angle_alpha 90.00
_cell_angle_beta 100.32
_cell_angle_gamma 90.00
_space_group_name_H-M_alt 'P 1 21/m 1'
_space_group_IT_number 11
loop_
_space_group_symop_operation_xyz
'x,y,z'
'-x,-y,-z'
'-x,y+1/2,-z'
'x,-y+1/2,z'
loop_
_atom_site_label
_atom_site_type_symbol
_atom_site_fract_x
_atom_site_fract_y
_atom_site_fract_z
_atom_site_occupancy
Np1 Np 0.091 0.250 0.240 1
Pa1 Pa 0.266 0.250 0.836 1
Mn1 Mn 0.359 0.750 0.508 1

Out of the structures above, which one is the most stable? Solution: run ii.